Density functional theory data (PBE) for an optimized crystal structure of ZrBi.

Calculated values
Calculated density   9705 kg/m³
Energy   -103.08 eV/cell
Space group   Pmmn, No. 59
Calculated volume   51.37 Å³/f.u.

The structure in CIF format:
```
data_ZrBi
_symmetry_space_group_name_H-M 'P 1'
_symmetry_Int_Tables_number 1
_cell_length_a 11.9732
_cell_length_b 6.2213
_cell_length_c 5.5166
_cell_angle_alpha 90.00
_cell_angle_beta 90.00
_cell_angle_gamma 90.00
loop_
_symmetry_equiv_pos_as_xyz
'x,y,z'
loop_
_atom_site_label
_atom_site_type_symbol
_atom_site_fract_x
_atom_site_fract_y
_atom_site_fract_z
_atom_site_occupancy
Zr1 Zr 0.6685 0.5000 0.5000 1
Zr2 Zr 0.9982 0.0000 0.0000 1
Zr3 Zr 0.1582 0.5000 0.5000 1
Zr4 Zr 0.3983 0.7498 0.5000 1
Zr5 Zr 0.3983 0.2502 0.5000 1
Zr6 Zr 0.2684 0.7502 0.0000 1
Zr7 Zr 0.2684 0.2498 0.0000 1
Zr8 Zr 0.5085 0.0000 0.0000 1
Bi1 Bi 0.7543 0.2516 0.0000 1
Bi2 Bi 0.9124 0.7516 0.5000 1
Bi3 Bi 0.4895 0.5000 0.0000 1
Bi4 Bi 0.1772 0.0000 0.5000 1
Bi5 Bi 0.9124 0.2484 0.5000 1
Bi6 Bi 0.6179 0.0000 0.5000 1
Bi7 Bi 0.0487 0.5000 0.0000 1
Bi8 Bi 0.7543 0.7484 0.0000 1
```